[1]
La4Pr5Dy (PBE, relaxed); energy relative to the elements = 0.05 eV per atom; excess energy over the best structure of this formula in the dataset = 0.031 eV per atom; total magnetization = 0.00 μB per cell; space-group type = No. 12
1.0
8.829 -1.819 0.000
8.829 1.819 0.000
-3.933 0.000 11.243
La Pr Dy
4 5 1
direct
0.090 0.090 0.297
0.394 0.394 0.203
0.606 0.606 0.797
0.910 0.910 0.703
0.192 0.192 0.087
0.205 0.205 0.606
0.500 0.500 0.000
0.795 0.795 0.394
0.808 0.808 0.913
0.500 0.500 0.500



[2]
YZr3Mo (PBE, relaxed); energy relative to the elements = 1.89 eV per atom; excess energy over the best structure of this formula in the dataset = 1.423 eV per atom; total magnetization = 0.00 μB per cell; space-group type = No. 221
1.0
5.033 0.000 0.000
0.000 5.033 0.000
0.000 0.000 5.033
Y Zr Mo
1 3 1
direct
0.000 0.000 0.000
0.000 0.000 0.500
0.000 0.500 0.000
0.500 0.000 0.000
0.500 0.500 0.500